DFT (PBE) results for a geometry-optimized W3SeI structure.

Summary:
Energy relative to the lowest polymorph listed for this composition ... 0.0000 eV/atom
Formation energy (no corrections) ... 1.991 eV/atom
Space group ... Pm-3m, No. 221
Volume ... 104.0 Å³ per cell

```
5
Lattice="-3.763 2.455 1.389 -2.638 -3.883 -0.282 0.999 -1.005 4.484" Properties=species:S:1:pos:R:3 pbc="T T T"
I -2.701 -1.217 2.795
Se 0.000 0.000 0.000
W -1.319 -1.942 -0.141
W 0.500 -0.502 2.242
W -1.881 1.227 0.694
```

=====

DFT (PBE) results for a geometry-optimized WSeI2 structure.

Summary:
Energy relative to the lowest polymorph listed for this composition ... 0.3463 eV/atom
Formation energy (no corrections) ... 0.094 eV/atom
Space group ... P1, No. 1
Volume ... 343.5 Å³ per cell

```
8
Lattice="6.139 0.000 0.000 0.104 6.964 0.000 2.226 3.137 8.034" Properties=species:S:1:pos:R:3 pbc="T T T"
W 6.545 7.698 2.384
W 6.991 2.735 3.469
Se 4.542 1.928 3.668
Se 3.002 3.507 2.551
I 6.092 2.824 0.649
I 6.034 5.682 4.098
I 2.407 6.557 1.079
I 7.622 9.303 6.020
```